[1]
Material: K2TcRh
Method: DFT, GGA-PBE
State: relaxed

Computed properties:
E above lowest polymorph = 533.6 meV per atom
space group = P4/mmm, No. 123
size of the total moment = 0.8 μB per cell
DOS(E_F) = 4.32 states/eV/f.u.
energy of formation from the pure elements = 1.12 eV/atom
uncorrected energy = -0.2837 Ry per atom

Cell lengths 2.742, 2.742, 11.224 Å; angles 90.00, 90.00, 90.00 degrees
Atoms (fractional coordinates):
Tc 0.500 0.500 0.750
K 0.000 0.000 0.491
Rh 0.500 0.500 0.250
K 0.000 0.000 0.009


[2]
Material: KTcRh3
Method: DFT, GGA-PBE
State: relaxed

Computed properties:
E above lowest polymorph = 1793.2 meV per atom
space group = Pm-3m, No. 221
size of the total moment = 0.0 μB per cell
DOS(E_F) = 16.81 states/eV/f.u.
energy of formation from the pure elements = 2.67 eV/atom
uncorrected energy = -0.2962 Ry per atom

Cell lengths 4.551, 4.551, 4.551 Å; angles 90.00, 90.00, 90.00 degrees
Atoms (fractional coordinates):
Rh 0.000 0.500 0.000
K 0.000 0.000 0.000
Rh 0.000 0.000 0.500
Tc 0.500 0.500 0.500
Rh 0.500 0.000 0.000


[3]
Material: K2TcRh
Method: DFT, GGA-PBE
State: relaxed

Computed properties:
E above lowest polymorph = 0.0 meV per atom
space group = Pm, No. 6
size of the total moment = 0.0 μB per cell
DOS(E_F) = 3.30 states/eV/f.u.
energy of formation from the pure elements = 0.58 eV/atom
uncorrected energy = -0.3229 Ry per atom

Cell lengths 3.926, 2.864, 10.607 Å; angles 73.53, 90.00, 90.00 degrees
Atoms (fractional coordinates):
K 0.500 0.179 0.339
Tc 0.500 0.832 0.665
K 0.000 0.067 0.915
Rh 0.000 0.422 0.580


[4]
Material: K4TcRh
Method: DFT, GGA-PBE
State: relaxed

Computed properties:
space group = F-43m, No. 216
size of the total moment = 4.2 μB per cell
DOS(E_F) = 6.34 states/eV/f.u.
energy of formation from the pure elements = 1.44 eV/atom
uncorrected energy = -0.1648 Ry per atom

Cell lengths 6.531, 6.531, 6.531 Å; angles 60.00, 60.00, 60.00 degrees
Atoms (fractional coordinates):
K 0.376 0.376 0.376
K 0.376 0.873 0.376
Tc 0.000 0.000 0.000
K 0.376 0.376 0.873
K 0.873 0.376 0.376
Rh 0.750 0.750 0.750


[5]
Material: KTcRh
Method: DFT, GGA-PBE
State: relaxed

Computed properties:
E above lowest polymorph = 600.2 meV per atom
space group = P-6m2, No. 187
size of the total moment = 0.0 μB per cell
DOS(E_F) = 4.53 states/eV/f.u.
energy of formation from the pure elements = 1.23 eV/atom
uncorrected energy = -0.3706 Ry per atom

Cell lengths 4.925, 4.925, 2.641 Å; angles 90.00, 90.00, 120.00 degrees
Atoms (fractional coordinates):
Tc 0.333 0.667 0.500
K 0.000 0.000 0.000
Rh 0.667 0.333 0.500


[6]
Material: K2TcRh
Method: DFT, GGA-PBE
State: relaxed

Computed properties:
E above lowest polymorph = 121.1 meV per atom
space group = C2/m, No. 12
size of the total moment = 0.0 μB per cell
DOS(E_F) = 5.44 states/eV/f.u.
energy of formation from the pure elements = 0.71 eV/atom
uncorrected energy = -0.3140 Ry per atom

Cell lengths 10.409, 10.409, 3.836 Å; angles 79.20, 79.20, 17.98 degrees
Atoms (fractional coordinates):
Rh 0.750 0.750 0.750
K 0.106 0.106 0.896
K 0.394 0.394 0.604
Tc 0.250 0.250 0.250


[7]
Material: KTcRh
Method: DFT, GGA-PBE
State: relaxed

Computed properties:
E above lowest polymorph = 0.0 meV per atom
space group = Imm2, No. 44
size of the total moment = 0.0 μB per cell
DOS(E_F) = 3.26 states/eV/f.u.
energy of formation from the pure elements = 0.63 eV/atom
uncorrected energy = -0.4147 Ry per atom

Cell lengths 6.658, 6.658, 6.658 Å; angles 156.17, 146.05, 41.90 degrees
Atoms (fractional coordinates):
Rh 0.288 0.288 0.000
K 0.997 0.997 0.000
Tc 0.715 0.715 0.000


[8]
Material: K2TcRh
Method: DFT, GGA-PBE
State: relaxed

Computed properties:
E above lowest polymorph = 502.5 meV per atom
space group = I-42d, No. 122
size of the total moment = 6.8 μB per cell
DOS(E_F) = 4.99 states/eV/f.u.
energy of formation from the pure elements = 1.09 eV/atom
uncorrected energy = -0.2860 Ry per atom

Cell lengths 12.324, 12.324, 9.027 Å; angles 46.95, 46.95, 90.00 degrees
Atoms (fractional coordinates):
Tc 0.250 0.750 0.500
K 0.948 0.625 0.250
K 0.875 0.052 0.750
Rh 0.000 0.000 0.000
Rh 0.750 0.250 0.500
K 0.375 0.198 0.750
K 0.802 0.125 0.250
Tc 0.500 0.500 0.000


[9]
Material: KTc4Rh
Method: DFT, GGA-PBE
State: relaxed

Computed properties:
space group = F-43m, No. 216
size of the total moment = 0.0 μB per cell
DOS(E_F) = 9.20 states/eV/f.u.
energy of formation from the pure elements = 0.95 eV/atom
uncorrected energy = -0.5415 Ry per atom

Cell lengths 5.253, 5.253, 5.253 Å; angles 60.00, 60.00, 60.00 degrees
Atoms (fractional coordinates):
Tc 0.375 0.375 0.375
Tc 0.375 0.375 0.876
K 0.750 0.750 0.750
Tc 0.375 0.876 0.375
Tc 0.876 0.375 0.375
Rh 0.000 0.000 0.000


[10]
Material: K2TcRh
Method: DFT, GGA-PBE
State: relaxed

Computed properties:
E above lowest polymorph = 550.3 meV per atom
space group = R-3m, No. 166
size of the total moment = 1.1 μB per cell
DOS(E_F) = 2.63 states/eV/f.u.
energy of formation from the pure elements = 1.14 eV/atom
uncorrected energy = -0.2825 Ry per atom

Cell lengths 11.602, 11.602, 11.602 Å; angles 14.22, 14.22, 14.22 degrees
Atoms (fractional coordinates):
K 0.996 0.996 0.996
Rh 0.250 0.250 0.250
K 0.504 0.504 0.504
Tc 0.750 0.750 0.750


[11]
Material: K2TcRh
Method: DFT, GGA-PBE
State: relaxed

Computed properties:
E above lowest polymorph = 525.3 meV per atom
space group = Cmmm, No. 65
size of the total moment = 0.5 μB per cell
DOS(E_F) = 5.32 states/eV/f.u.
energy of formation from the pure elements = 1.11 eV/atom
uncorrected energy = -0.2843 Ry per atom

Cell lengths 2.800, 2.800, 11.443 Å; angles 90.00, 90.00, 113.78 degrees
Atoms (fractional coordinates):
K 0.000 0.000 0.010
K 0.000 0.000 0.490
Tc 0.500 0.500 0.750
Rh 0.500 0.500 0.250


[12]
Material: KTcRh
Method: DFT, GGA-PBE
State: relaxed

Computed properties:
E above lowest polymorph = 158.4 meV per atom
space group = P3m1, No. 156
size of the total moment = 0.0 μB per cell
DOS(E_F) = 5.07 states/eV/f.u.
energy of formation from the pure elements = 0.79 eV/atom
uncorrected energy = -0.4030 Ry per atom

Cell lengths 2.858, 2.858, 7.919 Å; angles 90.00, 90.00, 120.00 degrees
Atoms (fractional coordinates):
Rh 0.667 0.333 0.369
Tc 0.333 0.667 0.623
K 0.000 0.000 0.008


[13]
Material: KTcRh
Method: DFT, GGA-PBE
State: relaxed

Computed properties:
E above lowest polymorph = 1713.6 meV per atom
space group = F-43m, No. 216
size of the total moment = 3.9 μB per cell
DOS(E_F) = 3.08 states/eV/f.u.
energy of formation from the pure elements = 2.34 eV/atom
uncorrected energy = -0.2887 Ry per atom

Cell lengths 4.640, 4.640, 4.640 Å; angles 60.00, 60.00, 60.00 degrees
Atoms (fractional coordinates):
Tc 0.500 0.500 0.500
K 0.750 0.750 0.750
Rh 0.000 0.000 0.000


[14]
Material: K2TcRh
Method: DFT, GGA-PBE
State: relaxed

Computed properties:
E above lowest polymorph = 1073.8 meV per atom
space group = Fm-3m, No. 225
size of the total moment = 4.1 μB per cell
DOS(E_F) = 3.53 states/eV/f.u.
energy of formation from the pure elements = 1.66 eV/atom
uncorrected energy = -0.2440 Ry per atom

Cell lengths 5.325, 5.325, 5.325 Å; angles 60.00, 60.00, 60.00 degrees
Atoms (fractional coordinates):
K 0.750 0.750 0.750
Tc 0.000 0.000 0.000
K 0.250 0.250 0.250
Rh 0.500 0.500 0.500


[15]
Material: K2TcRh
Method: DFT, GGA-PBE
State: relaxed

Computed properties:
E above lowest polymorph = 56.4 meV per atom
space group = Cm, No. 8
size of the total moment = 0.0 μB per cell
DOS(E_F) = 3.41 states/eV/f.u.
energy of formation from the pure elements = 0.64 eV/atom
uncorrected energy = -0.3188 Ry per atom

Cell lengths 4.403, 4.403, 9.929 Å; angles 88.13, 88.13, 38.13 degrees
Atoms (fractional coordinates):
Rh 0.505 0.505 0.419
Tc 0.243 0.243 0.335
K 0.758 0.758 0.657
K 0.994 0.994 0.090